Record 1
Entry from Alexandria: a relaxed structure of CsBa2CaAu (PBE-GGA).

Summary:
Calculated formation energy: -0.24 eV per atom
N(E_F): 0.905 states/eV/atom
ρ: 3.99 Mg/m³
DFT total energy: -2.24 eV per atom
Crystal system: tetragonal

a = 6.6501 Å, b = 6.6501 Å, c = 6.0719 Å
α = 90.00°, β = 90.00°, γ = 90.00°
Fractional positions:
Cs (0.0000, 0.0000, 0.0000)
Ba (0.0000, 0.5000, 0.5000)
Ba (0.5000, 0.0000, 0.5000)
Ca (0.5000, 0.5000, 0.0000)
Au (0.5000, 0.5000, 0.5000)

Record 2
Entry from Alexandria: a relaxed structure of LiTbY2Tl4 (PBE-GGA).

Summary:
Calculated formation energy: -0.34 eV per atom
N(E_F): 0.548 states/eV/atom
ρ: 9.16 Mg/m³
DFT total energy: -3.96 eV per atom
Crystal system: trigonal

a = 9.3433 Å, b = 9.3433 Å, c = 9.3433 Å
α = 32.60°, β = 32.60°, γ = 32.60°
Fractional positions:
Li (0.0000, 0.0000, 0.0000)
Tb (0.5000, 0.5000, 0.5000)
Y (0.2547, 0.2547, 0.2547)
Y (0.7453, 0.7453, 0.7453)
Tl (0.1231, 0.1231, 0.1231)
Tl (0.3729, 0.3729, 0.3729)
Tl (0.6271, 0.6271, 0.6271)
Tl (0.8769, 0.8769, 0.8769)

Record 3
Entry from Alexandria: a relaxed structure of PuScFe (PBE-GGA).

Summary:
Calculated formation energy: 0.03 eV per atom
N(E_F): 2.072 states/eV/atom
ρ: 9.52 Mg/m³
DFT total energy: -9.68 eV per atom
Crystal system: tetragonal

a = 6.3830 Å, b = 6.3830 Å, c = 6.3830 Å
α = 151.22°, β = 151.22°, γ = 41.15°
Fractional positions:
Pu (0.0000, 0.0000, 0.0000)
Sc (0.2714, 0.2714, 0.0000)
Fe (0.6393, 0.6393, 0.0000)